This record from Alexandria via LeMat-Bulk describes crystalline NpVO4 at its relaxed geometry. The functional is GGA+U.

Summary:
- calculated volume (Å³ per cell) = 310.3
- calculated total energy (eV per atom) = -9.258

a = 6.937 Å, b = 6.937 Å, c = 6.449 Å
α = 90.00°, β = 90.00°, γ = 90.00°
Space group I4_1md (No. 109)
Asymmetric unit:
Np  0.000  0.000  0.000
V  0.000  0.000  0.508
O  0.000  0.189  0.263
O  0.000  0.200  0.750



This record from Alexandria via LeMat-Bulk describes crystalline NpVO4 at its relaxed geometry. The functional is GGA+U.

Summary:
- calculated volume (Å³ per cell) = 153.4
- calculated total energy (eV per atom) = -9.253

a = 6.681 Å, b = 6.704 Å, c = 3.424 Å
α = 90.00°, β = 90.00°, γ = 90.00°
Space group Cmmm (No. 65)
Asymmetric unit:
Np  0.000  0.000  0.000
V  0.000  0.500  0.500
O  0.000  0.204  0.500
O  0.192  0.500  0.000



This record from Alexandria via LeMat-Bulk describes crystalline NpV2O6 at its relaxed geometry. The functional is GGA+U.

Summary:
- calculated volume (Å³ per cell) = 333.3
- calculated total energy (eV per atom) = -8.737

a = 9.0859 Å, b = 9.0859 Å, c = 4.6622 Å
α = 90.00°, β = 90.00°, γ = 120.00°
Space group P-3m1 (No. 164)
Asymmetric unit:
Np  0.0000  0.0000  0.0000
Np  0.3333  0.6667  0.4947
V  0.0000  0.3443  0.0000
O  0.1071  0.5535  0.7550
O  0.1170  0.2339  0.7935
O  0.2239  0.4479  0.2348